First-principles (PBE-GGA) data for Pr4Mg2Cd after structural relaxation, as listed in Alexandria.

## Properties
E_form in eV/atom: 0.0010
Spin magnetization in μB/f.u.: 0.0
Energy in eV per atom: -3.32

```
data_Pr4Mg2Cd
_symmetry_space_group_name_H-M 'I 4/m m m'
_symmetry_Int_Tables_number 139
_symmetry_space_group_name_Hall '-I 4 2'
_cell_length_a 7.748
_cell_length_b 7.748
_cell_length_c 7.696
_cell_angle_alpha 90.00
_cell_angle_beta 90.00
_cell_angle_gamma 90.00
loop_
_atom_site_label
_atom_site_type_symbol
_atom_site_fract_x
_atom_site_fract_y
_atom_site_fract_z
Pr1 Pr 0.250 0.250 0.250
Mg1 Mg 0.000 0.500 0.000
Cd1 Cd 0.000 0.000 0.000
```

***

First-principles (PBE-GGA) data for Hf2Sn2N after structural relaxation, as listed in Alexandria.

## Properties
Spin magnetization in μB/f.u.: 0.0
Energy in eV per atom: -7.74
Energy relative to the lowest polymorph listed for this composition in eV/f.u.: 0.00

```
data_Hf2Sn2N
_symmetry_space_group_name_H-M 'P 4/m b m'
_symmetry_Int_Tables_number 127
_symmetry_space_group_name_Hall '-P 4 2ab'
_cell_length_a 6.023
_cell_length_b 6.023
_cell_length_c 5.454
_cell_angle_alpha 90.00
_cell_angle_beta 90.00
_cell_angle_gamma 90.00
loop_
_atom_site_label
_atom_site_type_symbol
_atom_site_fract_x
_atom_site_fract_y
_atom_site_fract_z
Hf1 Hf 0.180 0.320 0.000
Sn1 Sn 0.178 0.678 0.500
N1 N 0.000 0.000 0.000
```

***

First-principles (PBE-GGA) data for AlTl2SiS after structural relaxation, as listed in Alexandria.

## Properties
Spin magnetization in μB/f.u.: 0.0
Energy in eV per atom: -3.17

```
data_AlTl2SiS
_symmetry_space_group_name_H-M 'P 4/m m m'
_symmetry_Int_Tables_number 123
_symmetry_space_group_name_Hall '-P 4 2'
_cell_length_a 5.452
_cell_length_b 5.452
_cell_length_c 4.563
_cell_angle_alpha 90.00
_cell_angle_beta 90.00
_cell_angle_gamma 90.00
loop_
_atom_site_label
_atom_site_type_symbol
_atom_site_fract_x
_atom_site_fract_y
_atom_site_fract_z
Al1 Al 0.000 0.000 0.000
Tl1 Tl 0.000 0.500 0.500
Si1 Si 0.500 0.500 0.500
S1 S 0.500 0.500 0.000
```

***

First-principles (PBE-GGA) data for Zn8CuNi2 after structural relaxation, as listed in Alexandria.

## Properties
E_form in eV/atom: -0.1143
Spin magnetization in μB/f.u.: 0.0
Energy in eV per atom: -2.46

```
data_Zn8CuNi2
_symmetry_space_group_name_H-M 'C 1 2/m 1'
_symmetry_Int_Tables_number 12
_symmetry_space_group_name_Hall '-C 2y'
_cell_length_a 13.316
_cell_length_b 3.841
_cell_length_c 6.110
_cell_angle_alpha 90.00
_cell_angle_beta 109.27
_cell_angle_gamma 90.00
loop_
_atom_site_label
_atom_site_type_symbol
_atom_site_fract_x
_atom_site_fract_y
_atom_site_fract_z
Zn1 Zn 0.044 0.000 0.230
Zn2 Zn 0.103 0.500 0.957
Zn3 Zn 0.145 0.000 0.702
Zn4 Zn 0.181 0.500 0.411
Cu1 Cu 0.000 0.500 0.500
Ni1 Ni 0.224 0.000 0.146
```

***

First-principles (PBE-GGA) data for PmGd2O after structural relaxation, as listed in Alexandria.

## Properties
Spin magnetization in μB/f.u.: 14.0
Energy in eV per atom: -10.78
Energy relative to the lowest polymorph listed for this composition in eV/f.u.: 0.00

```
data_PmGd2O
_symmetry_space_group_name_H-M 'R -3 m'
_symmetry_Int_Tables_number 166
_symmetry_space_group_name_Hall '-R 3 2"'
_cell_length_a 3.5764
_cell_length_b 3.5764
_cell_length_c 26.7462
_cell_angle_alpha 90.00
_cell_angle_beta 90.00
_cell_angle_gamma 120.00
loop_
_atom_site_label
_atom_site_type_symbol
_atom_site_fract_x
_atom_site_fract_y
_atom_site_fract_z
Pm1 Pm 0.0000 0.0000 0.0000
Gd1 Gd 0.0000 0.0000 0.2186
O1 O 0.0000 0.0000 0.5000
```

***

First-principles (PBE-GGA) data for Ba2CaCr after structural relaxation, as listed in Alexandria.

## Properties
E_form in eV/atom: 0.4081
Spin magnetization in μB/f.u.: 4.5
Energy in eV per atom: -3.46
Energy relative to the lowest polymorph listed for this composition in eV/f.u.: 0.00

```
data_Ba2CaCr
_symmetry_space_group_name_H-M 'P 4 m m'
_symmetry_Int_Tables_number 99
_symmetry_space_group_name_Hall 'P 4 -2'
_cell_length_a 4.185
_cell_length_b 4.185
_cell_length_c 10.052
_cell_angle_alpha 90.00
_cell_angle_beta 90.00
_cell_angle_gamma 90.00
loop_
_atom_site_label
_atom_site_type_symbol
_atom_site_fract_x
_atom_site_fract_y
_atom_site_fract_z
Ba1 Ba 0.000 0.000 0.000
Ba2 Ba 0.500 0.500 0.344
Ca1 Ca 0.000 0.000 0.630
Cr1 Cr 0.500 0.500 0.782
```

***

First-principles (PBE-GGA) data for CsCe2TlBr8 after structural relaxation, as listed in Alexandria.

## Properties
Spin magnetization in μB/f.u.: 2.0
Energy in eV per atom: -3.98

```
data_CsCe2TlBr8
_symmetry_space_group_name_H-M 'P -3'
_symmetry_Int_Tables_number 147
_symmetry_space_group_name_Hall '-P 3'
_cell_length_a 8.0488
_cell_length_b 8.0488
_cell_length_c 8.8397
_cell_angle_alpha 90.00
_cell_angle_beta 90.00
_cell_angle_gamma 120.00
loop_
_atom_site_label
_atom_site_type_symbol
_atom_site_fract_x
_atom_site_fract_y
_atom_site_fract_z
Cs1 Cs 0.0000 0.0000 0.0000
Ce1 Ce 0.3333 0.6667 0.4149
Tl1 Tl 0.0000 0.0000 0.5000
Br1 Br 0.0590 0.3878 0.6560
Br2 Br 0.3333 0.6667 0.0982
```

***

First-principles (PBE-GGA) data for Ba2LiGe3 after structural relaxation, as listed in Alexandria.

## Properties
E_form in eV/atom: -0.5640
Spin magnetization in μB/f.u.: 0.0
Energy in eV per atom: -3.83

```
data_Ba2LiGe3
_symmetry_space_group_name_H-M 'F d d d'
_symmetry_Int_Tables_number 70
_cell_length_a 8.952
_cell_length_b 15.558
_cell_length_c 19.677
_cell_angle_alpha 90.00
_cell_angle_beta 90.00
_cell_angle_gamma 90.00
loop_
_symmetry_equiv_pos_as_xyz
'x,y,z'
'-x,-y,-z'
'-x+1/4,-y+1/4,z'
'x+1/4,y+1/4,-z'
'x,-y+1/4,-z+1/4'
'-x,y+1/4,z+1/4'
'-x+1/4,y,-z+1/4'
'x+1/4,-y,z+1/4'
'x,y+1/2,z+1/2'
'-x,-y+1/2,-z+1/2'
'-x+1/4,-y+3/4,z+1/2'
'x+1/4,y+3/4,-z+1/2'
'x,-y+3/4,-z+3/4'
'-x,y+3/4,z+3/4'
'-x+1/4,y+1/2,-z+3/4'
'x+1/4,-y+1/2,z+3/4'
'x+1/2,y,z+1/2'
'-x+1/2,-y,-z+1/2'
'-x+3/4,-y+1/4,z+1/2'
'x+3/4,y+1/4,-z+1/2'
'x+1/2,-y+1/4,-z+3/4'
'-x+1/2,y+1/4,z+3/4'
'-x+3/4,y,-z+3/4'
'x+3/4,-y,z+3/4'
'x+1/2,y+1/2,z'
'-x+1/2,-y+1/2,-z'
'-x+3/4,-y+3/4,z'
'x+3/4,y+3/4,-z'
'x+1/2,-y+3/4,-z+1/4'
'-x+1/2,y+3/4,z+1/4'
'-x+3/4,y+1/2,-z+1/4'
'x+3/4,-y+1/2,z+1/4'
loop_
_atom_site_label
_atom_site_type_symbol
_atom_site_fract_x
_atom_site_fract_y
_atom_site_fract_z
Ba1 Ba 0.125 0.125 0.001
Ba2 Ba 0.125 0.125 0.503
Li1 Li 0.125 0.293 0.125
Ge1 Ge 0.120 0.293 0.879
Ge2 Ge 0.125 0.289 0.625
```

***

First-principles (PBE-GGA) data for CoSnP2S after structural relaxation, as listed in Alexandria.

## Properties
Spin magnetization in μB/f.u.: 2.8
Energy in eV per atom: -3.75
Energy relative to the lowest polymorph listed for this composition in eV/f.u.: 5.83

```
data_CoSnP2S
_symmetry_space_group_name_H-M 'P 4/m m m'
_symmetry_Int_Tables_number 123
_symmetry_space_group_name_Hall '-P 4 2'
_cell_length_a 4.999
_cell_length_b 4.999
_cell_length_c 4.974
_cell_angle_alpha 90.00
_cell_angle_beta 90.00
_cell_angle_gamma 90.00
loop_
_atom_site_label
_atom_site_type_symbol
_atom_site_fract_x
_atom_site_fract_y
_atom_site_fract_z
Co1 Co 0.000 0.000 0.000
Sn1 Sn 0.500 0.500 0.500
P1 P 0.000 0.500 0.500
S1 S 0.500 0.500 0.000
```

***

First-principles (PBE-GGA) data for Pm4SmIr3 after structural relaxation, as listed in Alexandria.

## Properties
E_form in eV/atom: -0.5839
Spin magnetization in μB/f.u.: 0.0
Energy in eV per atom: -6.87

```
data_Pm4SmIr3
_symmetry_space_group_name_H-M 'I 4/m c m'
_symmetry_Int_Tables_number 140
_symmetry_space_group_name_Hall '-I 4 2c'
_cell_length_a 11.320
_cell_length_b 11.320
_cell_length_c 6.196
_cell_angle_alpha 90.00
_cell_angle_beta 90.00
_cell_angle_gamma 90.00
loop_
_atom_site_label
_atom_site_type_symbol
_atom_site_fract_x
_atom_site_fract_y
_atom_site_fract_z
Pm1 Pm 0.084 0.209 0.000
Sm1 Sm 0.000 0.500 0.250
Ir1 Ir 0.000 0.000 0.250
Ir2 Ir 0.155 0.345 0.500
```

***

First-principles (PBE-GGA) data for TbTmThCd after structural relaxation, as listed in Alexandria.

## Properties
E_form in eV/atom: 0.0345
Spin magnetization in μB/f.u.: 0.0
Energy in eV per atom: -4.32
Energy relative to the lowest polymorph listed for this composition in eV/f.u.: 0.79

```
data_TbTmThCd
_symmetry_space_group_name_H-M 'F -4 3 m'
_symmetry_Int_Tables_number 216
_symmetry_space_group_name_Hall 'F -4 2 3'
_cell_length_a 7.735
_cell_length_b 7.735
_cell_length_c 7.735
_cell_angle_alpha 90.00
_cell_angle_beta 90.00
_cell_angle_gamma 90.00
loop_
_atom_site_label
_atom_site_type_symbol
_atom_site_fract_x
_atom_site_fract_y
_atom_site_fract_z
Tb1 Tb 0.000 0.000 0.000
Tm1 Tm 0.250 0.250 0.750
Th1 Th 0.000 0.000 0.500
Cd1 Cd 0.250 0.250 0.250
```

***

First-principles (PBE-GGA) data for NiGe2Au after structural relaxation, as listed in Alexandria.

## Properties
E_form in eV/atom: 0.0207
Spin magnetization in μB/f.u.: 0.0
Energy in eV per atom: -4.55
Energy relative to the lowest polymorph listed for this composition in eV/f.u.: 0.05

```
data_NiGe2Au
_symmetry_space_group_name_H-M 'I -4 2 d'
_symmetry_Int_Tables_number 122
_symmetry_space_group_name_Hall 'I -4 2bw'
_cell_length_a 4.143
_cell_length_b 4.143
_cell_length_c 16.137
_cell_angle_alpha 90.00
_cell_angle_beta 90.00
_cell_angle_gamma 90.00
loop_
_atom_site_label
_atom_site_type_symbol
_atom_site_fract_x
_atom_site_fract_y
_atom_site_fract_z
Ni1 Ni 0.000 0.000 0.000
Ge1 Ge 0.210 0.250 0.125
Au1 Au 0.000 0.000 0.500
```

***

First-principles (PBE-GGA) data for Sm2DyTmP4 after structural relaxation, as listed in Alexandria.

## Properties
E_form in eV/atom: -1.5860
Spin magnetization in μB/f.u.: 0.0
Energy in eV per atom: -6.60

```
data_Sm2DyTmP4
_symmetry_space_group_name_H-M 'P 1 2/m 1'
_symmetry_Int_Tables_number 10
_symmetry_space_group_name_Hall '-P 2y'
_cell_length_a 7.000
_cell_length_b 4.045
_cell_length_c 7.003
_cell_angle_alpha 90.00
_cell_angle_beta 109.47
_cell_angle_gamma 90.00
loop_
_atom_site_label
_atom_site_type_symbol
_atom_site_fract_x
_atom_site_fract_y
_atom_site_fract_z
Sm1 Sm 0.000 0.000 0.000
Sm2 Sm 0.000 0.500 0.500
Dy1 Dy 0.500 0.000 0.500
Tm1 Tm 0.500 0.500 0.000
P1 P 0.257 0.500 0.251
P2 P 0.259 0.000 0.754
```

***

First-principles (PBE-GGA) data for Hf4SiN2 after structural relaxation, as listed in Alexandria.

## Properties
Spin magnetization in μB/f.u.: 0.0
Energy in eV per atom: -8.71
Energy relative to the lowest polymorph listed for this composition in eV/f.u.: 9.74

```
data_Hf4SiN2
_symmetry_space_group_name_H-M 'I 4/m m m'
_symmetry_Int_Tables_number 139
_symmetry_space_group_name_Hall '-I 4 2'
_cell_length_a 4.781
_cell_length_b 4.781
_cell_length_c 11.548
_cell_angle_alpha 90.00
_cell_angle_beta 90.00
_cell_angle_gamma 90.00
loop_
_atom_site_label
_atom_site_type_symbol
_atom_site_fract_x
_atom_site_fract_y
_atom_site_fract_z
Hf1 Hf 0.000 0.000 0.241
Hf2 Hf 0.000 0.500 0.000
Si1 Si 0.000 0.000 0.000
N1 N 0.000 0.000 0.406
```

***

First-principles (PBE-GGA) data for MoCl3 after structural relaxation, as listed in Alexandria.

## Properties
Spin magnetization in μB/f.u.: 0.0
Energy in eV per atom: -4.33
Energy relative to the lowest polymorph listed for this composition in eV/f.u.: 2.50

```
data_MoCl3
_symmetry_space_group_name_H-M 'R -3 m'
_symmetry_Int_Tables_number 166
_symmetry_space_group_name_Hall '-R 3 2"'
_cell_length_a 3.1324
_cell_length_b 3.1324
_cell_length_c 30.5404
_cell_angle_alpha 90.00
_cell_angle_beta 90.00
_cell_angle_gamma 120.00
loop_
_atom_site_label
_atom_site_type_symbol
_atom_site_fract_x
_atom_site_fract_y
_atom_site_fract_z
Mo1 Mo 0.0000 0.0000 0.0000
Cl1 Cl 0.0000 0.0000 0.3891
Cl2 Cl 0.0000 0.0000 0.5000
```

***

First-principles (PBE-GGA) data for RbTcNO2 after structural relaxation, as listed in Alexandria.

## Properties
Spin magnetization in μB/f.u.: 0.2
Energy in eV per atom: -3.43

```
data_RbTcNO2
_symmetry_space_group_name_H-M 'P 4/m m m'
_symmetry_Int_Tables_number 123
_symmetry_space_group_name_Hall '-P 4 2'
_cell_length_a 4.141
_cell_length_b 4.141
_cell_length_c 4.646
_cell_angle_alpha 90.00
_cell_angle_beta 90.00
_cell_angle_gamma 90.00
loop_
_atom_site_label
_atom_site_type_symbol
_atom_site_fract_x
_atom_site_fract_y
_atom_site_fract_z
Rb1 Rb 0.000 0.000 0.000
Tc1 Tc 0.500 0.500 0.500
N1 N 0.000 0.000 0.500
O1 O 0.000 0.500 0.000
```

***

First-principles (PBE-GGA) data for CaYHg2 after structural relaxation, as listed in Alexandria.

## Properties
E_form in eV/atom: -0.1475
Spin magnetization in μB/f.u.: 0.0
Energy in eV per atom: -2.41
Energy relative to the lowest polymorph listed for this composition in eV/f.u.: 1.61

```
data_CaYHg2
_symmetry_space_group_name_H-M 'F -4 3 m'
_symmetry_Int_Tables_number 216
_symmetry_space_group_name_Hall 'F -4 2 3'
_cell_length_a 7.437
_cell_length_b 7.437
_cell_length_c 7.437
_cell_angle_alpha 90.00
_cell_angle_beta 90.00
_cell_angle_gamma 90.00
loop_
_atom_site_label
_atom_site_type_symbol
_atom_site_fract_x
_atom_site_fract_y
_atom_site_fract_z
Ca1 Ca 0.000 0.000 0.000
Y1 Y 0.250 0.250 0.250
Hg1 Hg 0.000 0.000 0.500
Hg2 Hg 0.250 0.250 0.750
```

***

First-principles (PBE-GGA) data for TaGaCuRh after structural relaxation, as listed in Alexandria.

## Properties
E_form in eV/atom: -0.3143
Spin magnetization in μB/f.u.: 0.0
Energy in eV per atom: -6.90

```
data_TaGaCuRh
_symmetry_space_group_name_H-M 'F -4 3 m'
_symmetry_Int_Tables_number 216
_symmetry_space_group_name_Hall 'F -4 2 3'
_cell_length_a 6.185
_cell_length_b 6.185
_cell_length_c 6.185
_cell_angle_alpha 90.00
_cell_angle_beta 90.00
_cell_angle_gamma 90.00
loop_
_atom_site_label
_atom_site_type_symbol
_atom_site_fract_x
_atom_site_fract_y
_atom_site_fract_z
Ta1 Ta 0.000 0.000 0.000
Ga1 Ga 0.000 0.000 0.500
Cu1 Cu 0.250 0.250 0.250
Rh1 Rh 0.250 0.250 0.750
```

***

First-principles (PBE-GGA) data for CaTlHAu after structural relaxation, as listed in Alexandria.

## Properties
Spin magnetization in μB/f.u.: 0.0
Energy in eV per atom: -3.06
Energy relative to the lowest polymorph listed for this composition in eV/f.u.: 0.01

```
data_CaTlHAu
_symmetry_space_group_name_H-M 'P 1'
_symmetry_Int_Tables_number 1
_symmetry_space_group_name_Hall 'P 1'
_cell_length_a 3.440
_cell_length_b 3.597
_cell_length_c 6.754
_cell_angle_alpha 89.22
_cell_angle_beta 75.54
_cell_angle_gamma 89.98
loop_
_atom_site_label
_atom_site_type_symbol
_atom_site_fract_x
_atom_site_fract_y
_atom_site_fract_z
Ca1 Ca 0.000 0.000 0.000
Tl1 Tl 0.720 0.979 0.565
H1 H 0.497 0.496 0.996
Au1 Au 0.364 0.495 0.283
```

***

First-principles (PBE-GGA) data for Er2TiAl2Ir5 after structural relaxation, as listed in Alexandria.

## Properties
E_form in eV/atom: -0.8528
Spin magnetization in μB/f.u.: 0.0
Energy in eV per atom: -7.73

```
data_Er2TiAl2Ir5
_symmetry_space_group_name_H-M 'P 4/m b m'
_symmetry_Int_Tables_number 127
_symmetry_space_group_name_Hall '-P 4 2ab'
_cell_length_a 9.827
_cell_length_b 9.827
_cell_length_c 3.472
_cell_angle_alpha 90.00
_cell_angle_beta 90.00
_cell_angle_gamma 90.00
loop_
_atom_site_label
_atom_site_type_symbol
_atom_site_fract_x
_atom_site_fract_y
_atom_site_fract_z
Er1 Er 0.173 0.327 0.000
Ti1 Ti 0.000 0.000 0.000
Al1 Al 0.125 0.625 0.000
Ir1 Ir 0.000 0.500 0.500
Ir2 Ir 0.066 0.797 0.500
```